1.
Computed, not measured: a geometry-optimized HfZr2ScN4 structure at the PBE level of DFT.

For the formation energy from raw total energies, the calculation gives -1.80 eV/atom. As for the density of states at the Fermi level: 1.12 states/eV/cell. The calculation puts the density at 8.036 g/cm³. The calculation puts the final energy at -10.13 eV/atom.

Geometry as CIF:
```
data_HfZr2ScN4
_chemical_formula_sum 'Hf1 Zr2 Sc1 N4'
_symmetry_space_group_name_H-M 'P 1 2/m 1'
_symmetry_Int_Tables_number 10
_cell_length_a 5.584
_cell_length_b 3.223
_cell_length_c 5.618
_cell_angle_alpha 90.00
_cell_angle_beta 109.25
_cell_angle_gamma 90.00
loop_
_symmetry_equiv_pos_as_xyz
'x,y,z'
'-x,-y,-z'
'-x,y,-z'
'x,-y,z'
loop_
_atom_site_label
_atom_site_type_symbol
_atom_site_fract_x
_atom_site_fract_y
_atom_site_fract_z
Hf1 Hf 0.000 0.000 0.000
Zr1 Zr 0.000 0.500 0.500
Zr2 Zr 0.500 0.000 0.500
Sc1 Sc 0.500 0.500 0.000
N1 N 0.245 0.500 0.239
N2 N 0.249 0.000 0.757
```



2.
Computed, not measured: a geometry-optimized InTeRu2 structure at the PBE level of DFT.

For the formation energy from raw total energies, the calculation gives 0.24 eV/atom. As for the density of states at the Fermi level: 19.21 states/eV/cell. The calculation puts the density at 10.629 g/cm³. The calculation puts the final energy at -5.87 eV/atom.

Geometry as CIF:
```
data_InTeRu2
_chemical_formula_sum 'In4 Te4 Ru8'
_symmetry_space_group_name_H-M 'F m -3 m'
_symmetry_Int_Tables_number 225
_symmetry_space_group_name_Hall '-F 4 2 3'
_cell_length_a 6.525
_cell_length_b 6.525
_cell_length_c 6.525
_cell_angle_alpha 90.00
_cell_angle_beta 90.00
_cell_angle_gamma 90.00
loop_
_atom_site_label
_atom_site_type_symbol
_atom_site_fract_x
_atom_site_fract_y
_atom_site_fract_z
In1 In 0.000 0.000 0.000
Te1 Te 0.000 0.000 0.500
Ru1 Ru 0.250 0.250 0.250
```



3.
Computed, not measured: a geometry-optimized PaNbAs structure at the PBE level of DFT.

The calculation puts the formation enthalpy at 0 K at -0.526 eV/atom. As for the density of states at the Fermi level: 17.14 states/eV/cell. The calculation puts the density at 10.473 g/cm³. The calculation puts the final energy at -8.60 eV/atom.

Geometry as CIF:
```
data_PaNbAs
_chemical_formula_sum 'Pa4 Nb4 As4'
_symmetry_space_group_name_H-M 'C 1 2/m 1'
_symmetry_Int_Tables_number 12
_cell_length_a 11.016
_cell_length_b 3.594
_cell_length_c 7.219
_cell_angle_alpha 90.00
_cell_angle_beta 117.73
_cell_angle_gamma 90.00
loop_
_symmetry_equiv_pos_as_xyz
'x,y,z'
'-x,-y,-z'
'-x,y,-z'
'x,-y,z'
'x+1/2,y+1/2,z'
'-x+1/2,-y+1/2,-z'
'-x+1/2,y+1/2,-z'
'x+1/2,-y+1/2,z'
loop_
_atom_site_label
_atom_site_type_symbol
_atom_site_fract_x
_atom_site_fract_y
_atom_site_fract_z
Pa1 Pa 0.065 0.000 0.313
Nb1 Nb 0.171 0.500 0.068
As1 As 0.161 0.500 0.682
```



4.
Computed, not measured: a geometry-optimized Mn3BW structure at the PBE level of DFT.

The calculation puts the formation enthalpy at 0 K at 0.067 eV/atom. As for the density of states at the Fermi level: 5.01 states/eV/cell. The calculation puts the density at 10.665 g/cm³. The calculation puts the final energy at -9.36 eV/atom.

Geometry as CIF:
```
data_Mn3BW
_chemical_formula_sum 'Mn3 B1 W1'
_symmetry_space_group_name_H-M 'P m -3 m'
_symmetry_Int_Tables_number 221
_symmetry_space_group_name_Hall '-P 4 2 3'
_cell_length_a 3.825
_cell_length_b 3.825
_cell_length_c 3.825
_cell_angle_alpha 90.00
_cell_angle_beta 90.00
_cell_angle_gamma 90.00
loop_
_atom_site_label
_atom_site_type_symbol
_atom_site_fract_x
_atom_site_fract_y
_atom_site_fract_z
Mn1 Mn 0.000 0.000 0.500
B1 B 0.000 0.000 0.000
W1 W 0.500 0.500 0.500
```



5.
Computed, not measured: a geometry-optimized K4SiRh structure at the PBE level of DFT.

For the formation energy from raw total energies, the calculation gives 0.96 eV/atom. As for the density of states at the Fermi level: 26.48 states/eV/cell. The calculation puts the density at 2.542 g/cm³. The calculation puts the final energy at -1.90 eV/atom.

Geometry as CIF:
```
data_K4SiRh
_chemical_formula_sum 'K16 Si4 Rh4'
_symmetry_space_group_name_H-M 'F -4 3 m'
_symmetry_Int_Tables_number 216
_symmetry_space_group_name_Hall 'F -4 2 3'
_cell_length_a 9.089
_cell_length_b 9.089
_cell_length_c 9.089
_cell_angle_alpha 90.00
_cell_angle_beta 90.00
_cell_angle_gamma 90.00
loop_
_atom_site_label
_atom_site_type_symbol
_atom_site_fract_x
_atom_site_fract_y
_atom_site_fract_z
K1 K 0.125 0.125 0.125
Si1 Si 0.000 0.000 0.500
Rh1 Rh 0.250 0.250 0.750
```



6.
Computed, not measured: a geometry-optimized KSi3Au structure at the PBE level of DFT.

For the formation energy from raw total energies, the calculation gives 0.77 eV/atom. As for the density of states at the Fermi level: 5.04 states/eV/cell. The calculation puts the density at 4.109 g/cm³. The calculation puts the final energy at -3.36 eV/atom.

Geometry as CIF:
```
data_KSi3Au
_chemical_formula_sum 'K1 Si3 Au1'
_symmetry_space_group_name_H-M 'P m -3 m'
_symmetry_Int_Tables_number 221
_symmetry_space_group_name_Hall '-P 4 2 3'
_cell_length_a 5.059
_cell_length_b 5.059
_cell_length_c 5.059
_cell_angle_alpha 90.00
_cell_angle_beta 90.00
_cell_angle_gamma 90.00
loop_
_atom_site_label
_atom_site_type_symbol
_atom_site_fract_x
_atom_site_fract_y
_atom_site_fract_z
K1 K 0.000 0.000 0.000
Si1 Si 0.000 0.500 0.500
Au1 Au 0.500 0.500 0.500
```



7.
Computed, not measured: a geometry-optimized Ce2CdO structure at the PBE level of DFT.

For the formation energy from raw total energies, the calculation gives -1.14 eV/atom. As for the density of states at the Fermi level: 24.09 states/eV/cell. The calculation puts the density at 7.166 g/cm³. The calculation puts the final energy at -5.57 eV/atom.

Geometry as CIF:
```
data_Ce2CdO
_chemical_formula_sum 'Ce6 Cd3 O3'
_symmetry_space_group_name_H-M 'R -3 m'
_symmetry_Int_Tables_number 166
_symmetry_space_group_name_Hall '-R 3 2"'
_cell_length_a 3.3521
_cell_length_b 3.3521
_cell_length_c 29.1918
_cell_angle_alpha 90.00
_cell_angle_beta 90.00
_cell_angle_gamma 120.00
loop_
_atom_site_label
_atom_site_type_symbol
_atom_site_fract_x
_atom_site_fract_y
_atom_site_fract_z
Ce1 Ce 0.0000 0.0000 0.1154
Cd1 Cd 0.0000 0.0000 0.0000
O1 O 0.0000 0.0000 0.5000
```



8.
Computed, not measured: a geometry-optimized Hg7AsI4 structure at the PBE level of DFT.

For the formation energy from raw total energies, the calculation gives -0.05 eV/atom. As for the density of states at the Fermi level: 7.62 states/eV/cell. The calculation puts the density at 7.217 g/cm³. The calculation puts the final energy at -1.13 eV/atom.

Geometry as CIF:
```
data_Hg7AsI4
_chemical_formula_sum 'Hg14 As2 I8'
_symmetry_space_group_name_H-M 'C 1 2/m 1'
_symmetry_Int_Tables_number 12
_cell_length_a 10.971
_cell_length_b 5.549
_cell_length_c 15.289
_cell_angle_alpha 90.00
_cell_angle_beta 100.83
_cell_angle_gamma 90.00
loop_
_symmetry_equiv_pos_as_xyz
'x,y,z'
'-x,-y,-z'
'-x,y,-z'
'x,-y,z'
'x+1/2,y+1/2,z'
'-x+1/2,-y+1/2,-z'
'-x+1/2,y+1/2,-z'
'x+1/2,-y+1/2,z'
loop_
_atom_site_label
_atom_site_type_symbol
_atom_site_fract_x
_atom_site_fract_y
_atom_site_fract_z
Hg1 Hg 0.000 0.000 0.000
Hg2 Hg 0.101 0.000 0.466
Hg3 Hg 0.190 0.500 0.149
Hg4 Hg 0.214 0.500 0.919
As1 As 0.000 0.500 0.000
I1 I 0.043 0.000 0.775
I2 I 0.199 0.500 0.615
```



9.
Computed, not measured: a geometry-optimized Ac4NiGe2 structure at the PBE level of DFT.

The calculation puts the formation enthalpy at 0 K at -0.368 eV/atom. As for the density of states at the Fermi level: 14.60 states/eV/cell. The calculation puts the density at 7.369 g/cm³. The calculation puts the final energy at -4.86 eV/atom.

Geometry as CIF:
```
data_Ac4NiGe2
_chemical_formula_sum 'Ac8 Ni2 Ge4'
_symmetry_space_group_name_H-M 'C 1 2/m 1'
_symmetry_Int_Tables_number 12
_cell_length_a 16.138
_cell_length_b 4.507
_cell_length_c 7.769
_cell_angle_alpha 90.00
_cell_angle_beta 117.52
_cell_angle_gamma 90.00
loop_
_symmetry_equiv_pos_as_xyz
'x,y,z'
'-x,-y,-z'
'-x,y,-z'
'x,-y,z'
'x+1/2,y+1/2,z'
'-x+1/2,-y+1/2,-z'
'-x+1/2,y+1/2,-z'
'x+1/2,-y+1/2,z'
loop_
_atom_site_label
_atom_site_type_symbol
_atom_site_fract_x
_atom_site_fract_y
_atom_site_fract_z
Ac1 Ac 0.120 0.000 0.438
Ac2 Ac 0.127 0.500 0.983
Ni1 Ni 0.000 0.000 0.000
Ge1 Ge 0.235 0.500 0.728
```



10.
Computed, not measured: a geometry-optimized RuCSN2 structure at the PBE level of DFT.

For the formation energy from raw total energies, the calculation gives 2.13 eV/atom. As for the density of states at the Fermi level: 2.61 states/eV/cell. The calculation puts the density at 6.162 g/cm³. The calculation puts the final energy at -5.73 eV/atom.

Geometry as CIF:
```
data_RuCSN2
_chemical_formula_sum 'Ru1 C1 S1 N2'
_symmetry_space_group_name_H-M 'P 4/m m m'
_symmetry_Int_Tables_number 123
_symmetry_space_group_name_Hall '-P 4 2'
_cell_length_a 3.534
_cell_length_b 3.534
_cell_length_c 3.737
_cell_angle_alpha 90.00
_cell_angle_beta 90.00
_cell_angle_gamma 90.00
loop_
_atom_site_label
_atom_site_type_symbol
_atom_site_fract_x
_atom_site_fract_y
_atom_site_fract_z
Ru1 Ru 0.000 0.000 0.000
C1 C 0.500 0.500 0.500
S1 S 0.500 0.500 0.000
N1 N 0.000 0.500 0.500
```



11.
Computed, not measured: a geometry-optimized NaEr2Pb9 structure at the PBE level of DFT.

The calculation puts the formation enthalpy at 0 K at -0.207 eV/atom. As for the density of states at the Fermi level: 3.75 states/eV/cell. The calculation puts the density at 10.605 g/cm³. The calculation puts the final energy at -3.86 eV/atom.

Geometry as CIF:
```
data_NaEr2Pb9
_chemical_formula_sum 'Na1 Er2 Pb9'
_symmetry_space_group_name_H-M 'P 4/m m m'
_symmetry_Int_Tables_number 123
_symmetry_space_group_name_Hall '-P 4 2'
_cell_length_a 4.839
_cell_length_b 4.839
_cell_length_c 14.861
_cell_angle_alpha 90.00
_cell_angle_beta 90.00
_cell_angle_gamma 90.00
loop_
_atom_site_label
_atom_site_type_symbol
_atom_site_fract_x
_atom_site_fract_y
_atom_site_fract_z
Na1 Na 0.000 0.000 0.000
Er1 Er 0.000 0.000 0.337
Pb1 Pb 0.000 0.500 0.167
Pb2 Pb 0.000 0.500 0.500
Pb3 Pb 0.500 0.500 0.000
Pb4 Pb 0.500 0.500 0.332
```



12.
Computed, not measured: a geometry-optimized Li5Cd6Rh structure at the PBE level of DFT.

The calculation puts the formation enthalpy at 0 K at -0.257 eV/atom. As for the density of states at the Fermi level: 9.02 states/eV/cell. The calculation puts the density at 6.346 g/cm³. The calculation puts the final energy at -2.12 eV/atom.

Geometry as CIF:
```
data_Li5Cd6Rh
_chemical_formula_sum 'Li10 Cd12 Rh2'
_symmetry_space_group_name_H-M 'C m m m'
_symmetry_Int_Tables_number 65
_symmetry_space_group_name_Hall '-C 2 2'
_cell_length_a 4.519
_cell_length_b 13.610
_cell_length_c 6.910
_cell_angle_alpha 90.00
_cell_angle_beta 90.00
_cell_angle_gamma 90.00
loop_
_atom_site_label
_atom_site_type_symbol
_atom_site_fract_x
_atom_site_fract_y
_atom_site_fract_z
Li1 Li 0.000 0.000 0.000
Li2 Li 0.000 0.327 0.000
Li3 Li 0.000 0.341 0.500
Cd1 Cd 0.000 0.166 0.255
Cd2 Cd 0.000 0.500 0.248
Rh1 Rh 0.000 0.000 0.500
```